*a*
VASP calculation (PBE-GGA) on a relaxed BaSbF3 crystal.

Properties
Spin magnetization: 2.00 μB per formula unit
Symmetry: Pm-3m

```
data_BaSbF3
_symmetry_space_group_name_H-M 'P 1'
_symmetry_Int_Tables_number 1
_cell_length_a 5.0880
_cell_length_b 5.0880
_cell_length_c 5.0880
_cell_angle_alpha 90.00
_cell_angle_beta 90.00
_cell_angle_gamma 90.00
loop_
_symmetry_equiv_pos_as_xyz
'x,y,z'
loop_
_atom_site_label
_atom_site_type_symbol
_atom_site_fract_x
_atom_site_fract_y
_atom_site_fract_z
Sb1 Sb 0.5000 0.5000 0.5000
Ba1 Ba 0.0000 0.0000 0.0000
F1 F 0.0000 0.5000 0.0000
F2 F 0.0000 0.0000 0.5000
F3 F 0.5000 0.0000 0.0000
```

***

*b*
VASP calculation (PBE-GGA) on a relaxed BaSbF3 crystal.

Properties
Spin magnetization: 0.00 μB per formula unit
Symmetry: Pm-3m

```
data_BaSbF3
_symmetry_space_group_name_H-M 'P 1'
_symmetry_Int_Tables_number 1
_cell_length_a 4.8234
_cell_length_b 4.8234
_cell_length_c 4.8234
_cell_angle_alpha 90.00
_cell_angle_beta 90.00
_cell_angle_gamma 90.00
loop_
_symmetry_equiv_pos_as_xyz
'x,y,z'
loop_
_atom_site_label
_atom_site_type_symbol
_atom_site_fract_x
_atom_site_fract_y
_atom_site_fract_z
Sb1 Sb 0.0000 0.0000 0.0000
Ba1 Ba 0.5000 0.5000 0.5000
F1 F 0.0000 0.5000 0.0000
F2 F 0.0000 0.0000 0.5000
F3 F 0.5000 0.0000 0.0000
```

***

Most favorable first, least favorable last: *a*, *b*

***

*a*
VASP calculation (PBE-GGA) on a relaxed BaSbF crystal.

Properties
Spin magnetization: 0.00 μB per formula unit
Symmetry: P2_1/m

```
data_BaSbF
_symmetry_space_group_name_H-M 'P 1'
_symmetry_Int_Tables_number 1
_cell_length_a 4.5305
_cell_length_b 9.2541
_cell_length_c 9.6185
_cell_angle_alpha 116.58
_cell_angle_beta 90.00
_cell_angle_gamma 90.00
loop_
_symmetry_equiv_pos_as_xyz
'x,y,z'
loop_
_atom_site_label
_atom_site_type_symbol
_atom_site_fract_x
_atom_site_fract_y
_atom_site_fract_z
Ba1 Ba 0.2500 0.4554 0.6721
Ba2 Ba 0.7500 0.0446 0.3279
Ba3 Ba 0.7500 0.5446 0.3279
Ba4 Ba 0.2500 0.9554 0.6721
Sb1 Sb 0.2500 0.8529 0.9945
Sb2 Sb 0.7500 0.6471 0.0055
Sb3 Sb 0.7500 0.1471 0.0055
Sb4 Sb 0.2500 0.3529 0.9945
F1 F 0.2500 0.6251 0.4997
F2 F 0.7500 0.8749 0.5003
F3 F 0.7500 0.3749 0.5003
F4 F 0.2500 0.1251 0.4997
```

***

*b*
VASP calculation (PBE-GGA) on a relaxed BaSbF crystal.

Properties
Spin magnetization: 0.00 μB per formula unit
Symmetry: I4/mmm

```
data_BaSbF
_symmetry_space_group_name_H-M 'P 1'
_symmetry_Int_Tables_number 1
_cell_length_a 4.2859
_cell_length_b 4.2859
_cell_length_c 9.7823
_cell_angle_alpha 102.65
_cell_angle_beta 102.65
_cell_angle_gamma 90.00
loop_
_symmetry_equiv_pos_as_xyz
'x,y,z'
loop_
_atom_site_label
_atom_site_type_symbol
_atom_site_fract_x
_atom_site_fract_y
_atom_site_fract_z
Ba1 Ba 0.5921 0.5921 0.1842
Ba2 Ba 0.4079 0.4079 0.8158
Sb1 Sb 0.2264 0.2264 0.4528
Sb2 Sb 0.7736 0.7736 0.5472
F1 F 0.0000 0.5000 0.0000
F2 F 0.5000 0.0000 0.0000
```

***

Most favorable first, least favorable last: *a*, *b*

***

*a*
VASP calculation (PBE-GGA) on a relaxed Ba2SbF crystal.

Properties
Spin magnetization: 0.00 μB per formula unit
Symmetry: I-42d

```
data_Ba2SbF
_symmetry_space_group_name_H-M 'P 1'
_symmetry_Int_Tables_number 1
_cell_length_a 6.7119
_cell_length_b 6.7119
_cell_length_c 8.7350
_cell_angle_alpha 67.41
_cell_angle_beta 67.41
_cell_angle_gamma 90.00
loop_
_symmetry_equiv_pos_as_xyz
'x,y,z'
loop_
_atom_site_label
_atom_site_type_symbol
_atom_site_fract_x
_atom_site_fract_y
_atom_site_fract_z
Sb1 Sb 0.0000 0.0000 0.0000
Sb2 Sb 0.7500 0.2500 0.5000
Ba1 Ba 0.5507 0.1250 0.2500
Ba2 Ba 0.1993 0.6250 0.2500
Ba3 Ba 0.3750 0.4493 0.7500
Ba4 Ba 0.8750 0.8007 0.7500
F1 F 0.5000 0.5000 0.0000
F2 F 0.2500 0.7500 0.5000
```

***

*b*
VASP calculation (PBE-GGA) on a relaxed Ba2SbF crystal.

Properties
Spin magnetization: 0.00 μB per formula unit
Symmetry: Fm-3m

```
data_Ba2SbF
_symmetry_space_group_name_H-M 'P 1'
_symmetry_Int_Tables_number 1
_cell_length_a 5.7503
_cell_length_b 5.7503
_cell_length_c 5.7503
_cell_angle_alpha 60.00
_cell_angle_beta 60.00
_cell_angle_gamma 60.00
loop_
_symmetry_equiv_pos_as_xyz
'x,y,z'
loop_
_atom_site_label
_atom_site_type_symbol
_atom_site_fract_x
_atom_site_fract_y
_atom_site_fract_z
Sb1 Sb 0.5000 0.5000 0.5000
Ba1 Ba 0.2500 0.2500 0.2500
Ba2 Ba 0.7500 0.7500 0.7500
F1 F 0.0000 0.0000 0.0000
```

***

Most favorable first, least favorable last: *a*, *b*

***

*a*
VASP calculation (PBE-GGA) on a relaxed BaSb2TeF crystal.

Properties
Spin magnetization: 1.07 μB per formula unit
Symmetry: P4/mmm

```
data_BaSb2TeF
_symmetry_space_group_name_H-M 'P 1'
_symmetry_Int_Tables_number 1
_cell_length_a 6.5598
_cell_length_b 6.5598
_cell_length_c 6.4295
_cell_angle_alpha 90.00
_cell_angle_beta 90.00
_cell_angle_gamma 90.00
loop_
_symmetry_equiv_pos_as_xyz
'x,y,z'
loop_
_atom_site_label
_atom_site_type_symbol
_atom_site_fract_x
_atom_site_fract_y
_atom_site_fract_z
Sb1 Sb 0.0000 0.5000 0.0000
Sb2 Sb 0.5000 0.0000 0.0000
Te1 Te 0.0000 0.0000 0.5000
Ba1 Ba 0.0000 0.0000 0.0000
F1 F 0.5000 0.5000 0.5000
```

***

*b*
VASP calculation (PBE-GGA) on a relaxed BaSb2TeF crystal.

Properties
Spin magnetization: 0.00 μB per formula unit
Symmetry: P4/mmm

```
data_BaSb2TeF
_symmetry_space_group_name_H-M 'P 1'
_symmetry_Int_Tables_number 1
_cell_length_a 4.9363
_cell_length_b 4.9363
_cell_length_c 5.8388
_cell_angle_alpha 90.00
_cell_angle_beta 90.00
_cell_angle_gamma 90.00
loop_
_symmetry_equiv_pos_as_xyz
'x,y,z'
loop_
_atom_site_label
_atom_site_type_symbol
_atom_site_fract_x
_atom_site_fract_y
_atom_site_fract_z
Sb1 Sb 0.0000 0.5000 0.0000
Sb2 Sb 0.5000 0.0000 0.0000
Te1 Te 0.0000 0.0000 0.5000
Ba1 Ba 0.5000 0.5000 0.5000
F1 F 0.0000 0.0000 0.0000
```

***

Most favorable first, least favorable last: *b*, *a*

***

*a*
VASP calculation (PBE-GGA) on a relaxed BaSc3F crystal.

Properties
Spin magnetization: 0.00 μB per formula unit
Symmetry: Pm-3m

```
data_BaSc3F
_symmetry_space_group_name_H-M 'P 1'
_symmetry_Int_Tables_number 1
_cell_length_a 5.4295
_cell_length_b 5.4295
_cell_length_c 5.4295
_cell_angle_alpha 90.00
_cell_angle_beta 90.00
_cell_angle_gamma 90.00
loop_
_symmetry_equiv_pos_as_xyz
'x,y,z'
loop_
_atom_site_label
_atom_site_type_symbol
_atom_site_fract_x
_atom_site_fract_y
_atom_site_fract_z
Sc1 Sc 0.0000 0.5000 0.0000
Sc2 Sc 0.0000 0.0000 0.5000
Sc3 Sc 0.5000 0.0000 0.0000
Ba1 Ba 0.0000 0.0000 0.0000
F1 F 0.5000 0.5000 0.5000
```

***

*b*
VASP calculation (PBE-GGA) on a relaxed BaSc3F crystal.

Properties
Spin magnetization: 0.00 μB per formula unit
Symmetry: Pm-3m

```
data_BaSc3F
_symmetry_space_group_name_H-M 'P 1'
_symmetry_Int_Tables_number 1
_cell_length_a 4.9697
_cell_length_b 4.9697
_cell_length_c 4.9697
_cell_angle_alpha 90.00
_cell_angle_beta 90.00
_cell_angle_gamma 90.00
loop_
_symmetry_equiv_pos_as_xyz
'x,y,z'
loop_
_atom_site_label
_atom_site_type_symbol
_atom_site_fract_x
_atom_site_fract_y
_atom_site_fract_z
Sc1 Sc 0.0000 0.5000 0.0000
Sc2 Sc 0.0000 0.0000 0.5000
Sc3 Sc 0.5000 0.0000 0.0000
Ba1 Ba 0.5000 0.5000 0.5000
F1 F 0.0000 0.0000 0.0000
```

***

Most favorable first, least favorable last: *b*, *a*

***

*a*
VASP calculation (PBE-GGA) on a relaxed Ba2Sc2F crystal.

Properties
Spin magnetization: 1.00 μB per formula unit
Symmetry: P4/mbm

```
data_Ba2Sc2F
_symmetry_space_group_name_H-M 'P 1'
_symmetry_Int_Tables_number 1
_cell_length_a 9.9015
_cell_length_b 9.9015
_cell_length_c 4.0246
_cell_angle_alpha 90.00
_cell_angle_beta 90.00
_cell_angle_gamma 90.00
loop_
_symmetry_equiv_pos_as_xyz
'x,y,z'
loop_
_atom_site_label
_atom_site_type_symbol
_atom_site_fract_x
_atom_site_fract_y
_atom_site_fract_z
Sc1 Sc 0.4046 0.9046 0.0000
Sc2 Sc 0.9046 0.5954 0.0000
Sc3 Sc 0.5954 0.0954 0.0000
Sc4 Sc 0.0954 0.4046 0.0000
Ba1 Ba 0.1953 0.6953 0.5000
Ba2 Ba 0.6953 0.8047 0.5000
Ba3 Ba 0.8047 0.3047 0.5000
Ba4 Ba 0.3047 0.1953 0.5000
F1 F 0.0000 0.0000 0.0000
F2 F 0.5000 0.5000 0.0000
```

***

*b*
VASP calculation (PBE-GGA) on a relaxed Ba2Sc2F crystal.

Properties
Spin magnetization: 2.18 μB per formula unit
Symmetry: I4/mmm

```
data_Ba2Sc2F
_symmetry_space_group_name_H-M 'P 1'
_symmetry_Int_Tables_number 1
_cell_length_a 4.6260
_cell_length_b 4.6260
_cell_length_c 9.5279
_cell_angle_alpha 75.95
_cell_angle_beta 75.95
_cell_angle_gamma 90.00
loop_
_symmetry_equiv_pos_as_xyz
'x,y,z'
loop_
_atom_site_label
_atom_site_type_symbol
_atom_site_fract_x
_atom_site_fract_y
_atom_site_fract_z
Sc1 Sc 0.4244 0.4244 0.1511
Sc2 Sc 0.5756 0.5756 0.8489
Ba1 Ba 0.7500 0.2500 0.5000
Ba2 Ba 0.2500 0.7500 0.5000
F1 F 0.0000 0.0000 0.0000
```

***

Most favorable first, least favorable last: *a*, *b*